## AlFeIr2 (PBE-GGA)

Data for a relaxed AlFeIr2 crystal.

Structure (CIF):
```
data_AlFeIr2
_space_group_name_H-M_alt 'P 1 m 1'
_space_group_IT_number 6
_space_group_name_Hall 'P -2y'
_cell_length_a 2.7629
_cell_length_b 3.8276
_cell_length_c 5.2470
_cell_angle_alpha 90.00
_cell_angle_beta 90.01
_cell_angle_gamma 90.00
loop_
_atom_site_label
_atom_site_type_symbol
_atom_site_fract_x
_atom_site_fract_y
_atom_site_fract_z
Al1 Al 0.0000 0.0000 0.0000
Fe1 Fe 0.4985 0.5000 0.2808
Ir1 Ir 0.0000 0.0000 0.4828
Ir2 Ir 0.5008 0.5000 0.7884
```

Computed properties:
The calculation puts the formation enthalpy at 0 K at -0.31 eV per atom. Its total energy is -0.2864 hartree per atom.

---

## NdThMgTc (PBE-GGA)

Data for a relaxed NdThMgTc crystal.

Structure (CIF):
```
data_NdThMgTc
_space_group_name_H-M_alt 'F -4 3 m'
_space_group_IT_number 216
_space_group_name_Hall 'F -4 2 3'
_cell_length_a 7.3555
_cell_length_b 7.3555
_cell_length_c 7.3555
_cell_angle_alpha 90.00
_cell_angle_beta 90.00
_cell_angle_gamma 90.00
loop_
_atom_site_label
_atom_site_type_symbol
_atom_site_fract_x
_atom_site_fract_y
_atom_site_fract_z
Nd1 Nd 0.0000 0.0000 0.0000
Th1 Th 0.0000 0.0000 0.5000
Mg1 Mg 0.2500 0.2500 0.2500
Tc1 Tc 0.2500 0.2500 0.7500
```

Computed properties:
The calculation puts the formation enthalpy at 0 K at 0.09 eV per atom. Its total energy is -0.2184 hartree per atom.

---

## SrLiAlAu2 (PBE-GGA)

Data for a relaxed SrLiAlAu2 crystal.

Structure (CIF):
```
data_SrLiAlAu2
_space_group_name_H-M_alt 'I -4 m 2'
_space_group_IT_number 119
_space_group_name_Hall 'I -4 -2'
_cell_length_a 4.2660
_cell_length_b 4.2660
_cell_length_c 11.9882
_cell_angle_alpha 90.00
_cell_angle_beta 90.00
_cell_angle_gamma 90.00
loop_
_atom_site_label
_atom_site_type_symbol
_atom_site_fract_x
_atom_site_fract_y
_atom_site_fract_z
Sr1 Sr 0.0000 0.0000 0.0000
Li1 Li 0.0000 0.5000 0.7500
Al1 Al 0.0000 0.5000 0.2500
Au1 Au 0.0000 0.0000 0.3782
```

Computed properties:
The calculation puts the formation enthalpy at 0 K at -0.64 eV per atom. Its total energy is -0.1257 hartree per atom.

---

## CaTb4Pr (PBE-GGA)

Data for a relaxed CaTb4Pr crystal.

Structure (CIF):
```
data_CaTb4Pr
_space_group_name_H-M_alt 'C 1 2/m 1'
_space_group_IT_number 12
_space_group_name_Hall '-C 2y'
_cell_length_a 12.0595
_cell_length_b 3.6207
_cell_length_c 10.2861
_cell_angle_alpha 90.00
_cell_angle_beta 115.26
_cell_angle_gamma 90.00
loop_
_atom_site_label
_atom_site_type_symbol
_atom_site_fract_x
_atom_site_fract_y
_atom_site_fract_z
Ca1 Ca 0.0000 0.0000 0.0000
Tb1 Tb 0.1682 0.5000 0.3404
Tb2 Tb 0.1692 0.5000 0.8270
Pr1 Pr 0.0000 0.0000 0.5000
```

Computed properties:
The offset from the most stable computed form comes out at 0.0 meV/atom. The calculation puts the formation enthalpy at 0 K at 0.06 eV per atom. Its total energy is -0.1526 hartree per atom.